(1)
Entry from Alexandria: a crystal of SrCa2Al relaxed with PBEsol (meta-GGA SCAN).

Geometry as POSCAR:
```
SrCa2Al
1.0
3.7809 0.0000 0.0000
0.0000 3.7809 0.0000
0.0000 0.0000 9.8050
Sr Ca Al
1 2 1
direct
0.0000 0.0000 0.0000 Sr
0.5000 0.5000 0.3174 Ca
0.5000 0.5000 0.6826 Ca
0.0000 0.0000 0.5000 Al
```

Properties
Energy relative to the elements, eV per atom: -0.060
N(E_F), states/eV/f.u.: 3.23


(2)
Entry from Alexandria: a crystal of La2Sc relaxed with PBEsol (meta-GGA SCAN).

Geometry as POSCAR:
```
La2Sc
1.0
12.8378 0.0000 0.0000
0.0000 3.5373 0.0000
-2.1489 0.0000 8.0528
La Sc
8 4
direct
0.0000 0.0000 0.0000 La
0.0490 0.0000 0.5990 La
0.1735 0.5000 0.3275 La
0.3214 0.0000 0.6759 La
0.5000 0.5000 0.0000 La
0.5490 0.5000 0.5990 La
0.6735 0.0000 0.3275 La
0.8214 0.5000 0.6759 La
0.2234 0.5000 0.9560 Sc
0.3836 0.0000 0.2607 Sc
0.7234 0.0000 0.9560 Sc
0.8836 0.5000 0.2607 Sc
```

Properties
Energy relative to the elements, eV per atom: 0.086
Energy relative to the lowest polymorph listed for this composition, meV per atom: 37
N(E_F), states/eV/f.u.: 4.62


(3)
Entry from Alexandria: a crystal of La2SeBr relaxed with PBEsol (meta-GGA SCAN).

Geometry as POSCAR:
```
La2SeBr
1.0
4.2510 0.0000 0.0000
-2.1255 3.6815 0.0000
0.0000 0.0000 28.5236
La Se Br
6 3 3
direct
0.0000 0.0000 0.0000 La
0.0000 0.0000 0.2199 La
0.3333 0.6667 0.6667 La
0.3333 0.6667 0.8866 La
0.6667 0.3333 0.3333 La
0.6667 0.3333 0.5532 La
0.0000 0.0000 0.7177 Se
0.3333 0.6667 0.3844 Se
0.6667 0.3333 0.0510 Se
0.0000 0.0000 0.4928 Br
0.3333 0.6667 0.1594 Br
0.6667 0.3333 0.8261 Br
```

Properties
Energy relative to the elements, uncorrected, kJ/mol of formula units: -542
Energy relative to the lowest polymorph listed for this composition, meV per atom: 408
N(E_F), states/eV/f.u.: 1.04


(4)
Entry from Alexandria: a crystal of NbIrSe2 relaxed with PBEsol (meta-GGA SCAN).

Geometry as POSCAR:
```
NbIrSe2
1.0
3.3701 0.0000 0.0000
-1.6850 2.9186 0.0000
0.0000 0.0000 24.2502
Nb Ir Se
3 3 6
direct
0.0000 0.0000 0.0000 Nb
0.3333 0.6667 0.6667 Nb
0.6667 0.3333 0.3333 Nb
0.0000 0.0000 0.5000 Ir
0.3333 0.6667 0.1667 Ir
0.6667 0.3333 0.8333 Ir
0.0000 0.0000 0.1046 Se
0.0000 0.0000 0.8954 Se
0.3333 0.6667 0.5620 Se
0.3333 0.6667 0.7713 Se
0.6667 0.3333 0.2287 Se
0.6667 0.3333 0.4380 Se
```

Properties
Energy relative to the elements, uncorrected, kJ/mol of formula units: 101
Energy relative to the lowest polymorph listed for this composition, meV per atom: 368
N(E_F), states/eV/f.u.: 3.06


(5)
Entry from Alexandria: a crystal of LiCd2Pb relaxed with PBEsol (meta-GGA SCAN).

Geometry as POSCAR:
```
LiCd2Pb
1.0
3.6389 0.0000 0.0000
0.0000 4.1345 0.0000
0.0000 0.0000 5.9281
Li Cd Pb
1 2 1
direct
0.0000 0.0000 0.0000 Li
0.5000 0.5000 0.2359 Cd
0.5000 0.5000 0.7641 Cd
0.0000 0.0000 0.5000 Pb
```

Properties
Energy relative to the elements, eV per atom: -0.151
N(E_F), states/eV/f.u.: 1.02


(6)
Entry from Alexandria: a crystal of MoSe2Br relaxed with PBEsol (meta-GGA SCAN).

Geometry as POSCAR:
```
MoSe2Br
1.0
3.8701 0.0000 0.0000
0.0000 3.8701 0.0000
0.0000 0.0000 5.5034
Mo Se Br
1 2 1
direct
0.0000 0.0000 0.0000 Mo
0.0000 0.5000 0.5000 Se
0.5000 0.0000 0.5000 Se
0.5000 0.5000 0.0000 Br
```

Properties
Energy relative to the elements, uncorrected, kJ/mol of formula units: 245
Energy relative to the lowest polymorph listed for this composition, meV per atom: 880
N(E_F), states/eV/f.u.: 2.96


(7)
Entry from Alexandria: a crystal of BaSi2Au relaxed with PBEsol (meta-GGA SCAN).

Geometry as POSCAR:
```
BaSi2Au
1.0
4.7087 0.0000 0.0000
0.0000 3.9161 0.0000
-0.9593 0.0000 5.4969
Ba Si Au
1 2 1
direct
0.0000 0.0000 0.0000 Ba
0.5876 0.0000 0.4140 Si
0.8843 0.5000 0.4941 Si
0.3923 0.5000 0.6376 Au
```

Properties
Energy relative to the elements, uncorrected, kJ/mol of formula units: -131
N(E_F), states/eV/f.u.: 1.42


(8)
Entry from Alexandria: a crystal of BeRe2Ru relaxed with PBEsol (meta-GGA SCAN).

Geometry as POSCAR:
```
BeRe2Ru
1.0
2.6773 0.0000 0.0000
-1.0055 4.2187 0.0000
-0.3633 -0.4432 4.6939
Be Re Ru
1 2 1
direct
0.0000 0.0000 0.0000 Be
0.4252 0.0229 0.5221 Re
0.8403 0.5056 0.2678 Re
0.2998 0.5197 0.8074 Ru
```

Properties
Energy relative to the elements, eV per atom: 0.060
Energy relative to the lowest polymorph listed for this composition, meV per atom: 170
N(E_F), states/eV/f.u.: 1.93


(9)
Entry from Alexandria: a crystal of LiLaFe2 relaxed with PBEsol (meta-GGA SCAN).

Geometry as POSCAR:
```
LiLaFe2
1.0
2.9876 0.0000 0.0000
0.0000 4.0400 0.0000
-1.2055 0.0000 5.5281
Li La Fe
1 1 2
direct
0.0000 0.0000 0.0000 Li
0.3659 0.5000 0.6554 La
0.4571 0.5000 0.1980 Fe
0.7771 0.0000 0.3754 Fe
```

Properties
Energy relative to the elements, eV per atom: 0.411
Energy relative to the lowest polymorph listed for this composition, meV per atom: 134
N(E_F), states/eV/f.u.: 2.83


(10)
Entry from Alexandria: a crystal of YNiSe2 relaxed with PBEsol (meta-GGA SCAN).

Geometry as POSCAR:
```
YNiSe2
1.0
6.6725 0.0000 0.0000
0.0000 6.6725 0.0000
0.0000 0.0000 6.6725
Y Ni Se
4 4 8
direct
0.0000 0.0000 0.0000 Y
0.0000 0.5000 0.5000 Y
0.5000 0.0000 0.5000 Y
0.5000 0.5000 0.0000 Y
0.2500 0.2500 0.2500 Ni
0.2500 0.7500 0.7500 Ni
0.7500 0.2500 0.7500 Ni
0.7500 0.7500 0.2500 Ni
0.0000 0.0000 0.5000 Se
0.0000 0.5000 0.0000 Se
0.2500 0.2500 0.7500 Se
0.2500 0.7500 0.2500 Se
0.5000 0.0000 0.0000 Se
0.5000 0.5000 0.5000 Se
0.7500 0.2500 0.2500 Se
0.7500 0.7500 0.7500 Se
```

Properties
Energy relative to the elements, uncorrected, kJ/mol of formula units: -121
N(E_F), states/eV/f.u.: 4.10